Entry from Alexandria via LeMat-Bulk: a relaxed structure of K2PbW (PBE).

Output
Its total magnetization is 0.74 μB/cell. The energy relative to the elements comes out at 1185 meV per atom. The crystal system is orthorhombic.

abc: 6.6885 6.6885 3.0951
angles: 90.00 90.00 127.43
Last column: magnetic moment on the atom in μB.
Atoms (fractional coordinates):
K 0.5000 0.5000 0.0000  0.00
K 0.0000 0.0000 0.0000  0.00
W 0.0000 0.5000 0.5000  0.54
Pb 0.5000 0.0000 0.5000  -0.02


Entry from Alexandria via LeMat-Bulk: a relaxed structure of KPbW2 (PBE).

Output
Its total magnetization is 0.00 μB/cell. The energy relative to the elements comes out at 1266 meV per atom. The crystal system is orthorhombic.

abc: 6.6080 6.6080 6.6080
angles: 152.70 127.66 60.03
Atoms (fractional coordinates):
Pb 0.2130 0.7130 0.5000
W 0.9690 0.9690 0.0000
W 0.8080 0.3080 0.5000
K 0.5100 0.5100 0.0000


Entry from Alexandria via LeMat-Bulk: a relaxed structure of K2PbW (PBE).

Output
Its total magnetization is 2.00 μB/cell. The energy relative to the elements comes out at 1204 meV per atom. The crystal system is tetragonal.

abc: 4.3583 4.3646 5.9240
angles: 90.00 90.00 90.00
Last column: magnetic moment on the atom in μB.
Atoms (fractional coordinates):
K 0.0000 0.0000 0.0000  0.00
K 0.5000 0.5000 0.0000  0.00
Pb 0.5000 0.0000 0.5000  -0.10
W 0.0000 0.5000 0.5000  1.70


Entry from Alexandria via LeMat-Bulk: a relaxed structure of KPb2W (PBE).

Output
Its total magnetization is 0.00 μB/cell. The energy relative to the elements comes out at 872 meV per atom. The value obtained for the offset from the most stable computed form is 0.326 eV per atom. The crystal system is tetragonal.

abc: 3.8475 3.8475 8.5606
angles: 90.00 90.00 90.00
Atoms (fractional coordinates):
Pb 0.5000 0.5000 0.3295
Pb 0.0000 0.0000 0.0500
W 0.0000 0.0000 0.3830
K 0.5000 0.5000 0.7375


Entry from Alexandria via LeMat-Bulk: a relaxed structure of K4PbW (PBE).

Output
Its total magnetization is 4.72 μB/cell. The energy relative to the elements comes out at 1204 meV per atom. The crystal system is cubic.

abc: 6.8701 6.8701 6.8701
angles: 60.00 60.00 60.00
Last column: magnetic moment on the atom in μB.
Atoms (fractional coordinates):
K 0.3747 0.8760 0.3747  0.01
K 0.8760 0.3747 0.3747  0.01
K 0.3747 0.3747 0.8760  0.01
K 0.3747 0.3747 0.3747  0.01
Pb 0.7500 0.7500 0.7500  -0.09
W 0.0000 0.0000 0.0000  3.22


Entry from Alexandria via LeMat-Bulk: a relaxed structure of KPb2W (PBE).

Output
Its total magnetization is 1.75 μB/cell. The energy relative to the elements comes out at 1042 meV per atom. The value obtained for the offset from the most stable computed form is 0.496 eV per atom. The crystal system is orthorhombic.

abc: 6.0047 6.0047 3.0762
angles: 90.00 90.00 109.93
Last column: magnetic moment on the atom in μB.
Atoms (fractional coordinates):
W 0.5000 0.0000 0.5000  1.39
Pb 0.0000 0.0000 0.0000  -0.02
Pb 0.5000 0.5000 0.0000  -0.02
K 0.0000 0.5000 0.5000  0.01


Entry from Alexandria via LeMat-Bulk: a relaxed structure of K2PbW (PBE).

Output
Its total magnetization is 5.95 μB/cell. The energy relative to the elements comes out at 1238 meV per atom. The crystal system is tetragonal.

abc: 12.7264 12.7264 9.3979
angles: 47.38 47.38 90.00
Last column: magnetic moment on the atom in μB.
Atoms (fractional coordinates):
K 0.3750 0.5424 0.7500  0.01
K 0.2924 0.6250 0.2500  0.01
K 0.8750 0.7076 0.7500  0.01
K 0.4576 0.1250 0.2500  0.01
W 0.2500 0.7500 0.5000  2.40
W 0.5000 0.5000 0.0000  2.40
Pb 0.7500 0.2500 0.5000  -0.13
Pb 0.0000 0.0000 0.0000  -0.13


Entry from Alexandria via LeMat-Bulk: a relaxed structure of KPb4W2 (PBE).

Output
Its total magnetization is 0.00 μB/cell. The energy relative to the elements comes out at 1451 meV per atom. The crystal system is tetragonal.

abc: 5.7222 5.7222 8.3386
angles: 69.93 69.93 90.00
Atoms (fractional coordinates):
K 0.0000 0.0000 0.0000
Pb 0.7742 0.7742 0.4516
Pb 0.2258 0.2258 0.5484
Pb 0.0000 0.5000 0.0000
Pb 0.5000 0.0000 0.0000
W 0.4224 0.4224 0.1552
W 0.5776 0.5776 0.8448


Entry from Alexandria via LeMat-Bulk: a relaxed structure of KPb2W (PBE).

Output
Its total magnetization is 0.00 μB/cell. The energy relative to the elements comes out at 677 meV per atom. The value obtained for the offset from the most stable computed form is 0.131 eV per atom. The crystal system is orthorhombic.

abc: 8.8634 8.8634 4.6522
angles: 74.82 74.82 20.56
Atoms (fractional coordinates):
Pb 0.0042 0.0042 0.9960
Pb 0.8330 0.8330 0.6667
K 0.1839 0.1839 0.3160
W 0.4789 0.4789 0.5213


Entry from Alexandria via LeMat-Bulk: a relaxed structure of KPb3W (PBE).

Output
Its total magnetization is 0.00 μB/cell. The energy relative to the elements comes out at 383 meV per atom. The value obtained for the offset from the most stable computed form is 0.000 eV per atom. The crystal system is cubic.

abc: 5.4956 5.4956 5.4956
angles: 90.00 90.00 90.00
Atoms (fractional coordinates):
Pb 0.5000 0.0000 0.0000
Pb 0.0000 0.0000 0.5000
Pb 0.0000 0.5000 0.0000
K 0.5000 0.5000 0.5000
W 0.0000 0.0000 0.0000


Entry from Alexandria via LeMat-Bulk: a relaxed structure of K2PbW (PBE).

Output
Its total magnetization is 0.52 μB/cell. The energy relative to the elements comes out at 1125 meV per atom. The crystal system is tetragonal.

abc: 3.0204 3.0204 12.1721
angles: 90.00 90.00 90.00
Last column: magnetic moment on the atom in μB.
Atoms (fractional coordinates):
K 0.0000 0.0000 0.5101  0.00
K 0.0000 0.0000 0.9899  0.00
W 0.5000 0.5000 0.7500  0.35
Pb 0.5000 0.5000 0.2500  0.00


Entry from Alexandria via LeMat-Bulk: a relaxed structure of KPbW2 (PBE).

Output
Its total magnetization is 0.00 μB/cell. The energy relative to the elements comes out at 1681 meV per atom. The crystal system is orthorhombic.

abc: 6.1148 6.1148 2.8026
angles: 90.00 90.00 123.04
Atoms (fractional coordinates):
W 0.5000 0.5000 0.0000
W 0.0000 0.0000 0.0000
K 0.5000 0.0000 0.5000
Pb 0.0000 0.5000 0.5000


Entry from Alexandria via LeMat-Bulk: a relaxed structure of KPb2W (PBE).

Output
Its total magnetization is 0.00 μB/cell. The energy relative to the elements comes out at 709 meV per atom. The value obtained for the offset from the most stable computed form is 0.162 eV per atom. The crystal system is monoclinic.

abc: 4.6139 3.2011 8.5183
angles: 89.94 90.00 90.00
Atoms (fractional coordinates):
Pb 0.0000 0.1265 0.0449
Pb 0.5000 0.1230 0.3693
K 0.5000 0.6275 0.7524
W 0.0000 0.6230 0.3334


Entry from Alexandria via LeMat-Bulk: a relaxed structure of K2PbW (PBE).

Output
Its total magnetization is 0.62 μB/cell. The energy relative to the elements comes out at 1028 meV per atom. The crystal system is monoclinic.

abc: 5.1732 5.1732 9.9222
angles: 86.63 86.63 34.83
Last column: magnetic moment on the atom in μB.
Atoms (fractional coordinates):
K 0.7607 0.7607 0.6700  0.01
K 0.9857 0.9857 0.0771  0.00
Pb 0.5081 0.5081 0.4134  -0.02
W 0.2456 0.2456 0.3395  0.40


Entry from Alexandria via LeMat-Bulk: a relaxed structure of KYPb2 (PBE).

Output
Its total magnetization is 0.00 μB/cell. The energy relative to the elements comes out at -203 meV per atom. The value obtained for the offset from the most stable computed form is 0.161 eV per atom. The crystal system is trigonal.

abc: 11.1037 11.1037 11.1037
angles: 19.58 19.58 19.58
Atoms (fractional coordinates):
Y 0.2500 0.2500 0.2500
Pb 0.5063 0.5063 0.5063
Pb 0.9937 0.9937 0.9937
K 0.7500 0.7500 0.7500


Entry from Alexandria via LeMat-Bulk: a relaxed structure of KY3Pb (PBE).

Output
Its total magnetization is 0.00 μB/cell. The energy relative to the elements comes out at 1094 meV per atom. The value obtained for the offset from the most stable computed form is 0.726 eV per atom. The crystal system is cubic.

abc: 5.4482 5.4482 5.4482
angles: 90.00 90.00 90.00
Atoms (fractional coordinates):
K 0.0000 0.0000 0.0000
Pb 0.5000 0.5000 0.5000
Y 0.0000 0.5000 0.0000
Y 0.5000 0.0000 0.0000
Y 0.0000 0.0000 0.5000


Entry from Alexandria via LeMat-Bulk: a relaxed structure of KYPb2 (PBE).

Output
Its total magnetization is 0.00 μB/cell. The energy relative to the elements comes out at 106 meV per atom. The value obtained for the offset from the most stable computed form is 0.471 eV per atom. The crystal system is cubic.

abc: 5.6967 5.6967 5.6967
angles: 60.00 60.00 60.00
Atoms (fractional coordinates):
Y 0.7500 0.7500 0.7500
Pb 0.2500 0.2500 0.2500
Pb 0.0000 0.0000 0.0000
K 0.5000 0.5000 0.5000


Entry from Alexandria via LeMat-Bulk: a relaxed structure of KYPb2 (PBE).

Output
Its total magnetization is 0.00 μB/cell. The energy relative to the elements comes out at -170 meV per atom. The value obtained for the offset from the most stable computed form is 0.195 eV per atom. The crystal system is tetragonal.

abc: 4.6747 5.1311 5.1311
angles: 90.00 90.00 90.00
Atoms (fractional coordinates):
K 0.5000 0.0000 0.5000
Pb 0.0000 0.0000 0.0000
Pb 0.0000 0.5000 0.5000
Y 0.5000 0.5000 0.0000


Entry from Alexandria via LeMat-Bulk: a relaxed structure of KYPb2 (PBE).

Output
Its total magnetization is 0.00 μB/cell. The energy relative to the elements comes out at -180 meV per atom. The value obtained for the offset from the most stable computed form is 0.184 eV per atom. The crystal system is tetragonal.

abc: 5.9452 5.9452 5.9452
angles: 129.21 129.18 74.70
Atoms (fractional coordinates):
Pb 0.9999 0.9999 0.0000
Pb 0.5001 0.5001 0.0000
Y 0.7500 0.2500 0.5000
K 0.2500 0.7500 0.5000


Entry from Alexandria via LeMat-Bulk: a relaxed structure of KYPb2 (PBE).

Output
Its total magnetization is 0.00 μB/cell. The energy relative to the elements comes out at 18 meV per atom. The value obtained for the offset from the most stable computed form is 0.382 eV per atom. The crystal system is tetragonal.

abc: 4.3967 4.3967 7.2652
angles: 90.00 90.00 90.00
Atoms (fractional coordinates):
Y 0.0000 0.0000 0.4292
K 0.5000 0.5000 0.7748
Pb 0.0000 0.0000 0.0180
Pb 0.5000 0.5000 0.2779